KRbBa2Ga (PBE, optimized geometry); total energy = -1.7679 eV per atom; energy of formation from the pure elements = 20 meV/atom; space group = P4/mmm, No. 123
1.0
6.602 0.000 0.000
0.000 6.602 0.000
0.000 0.000 7.312
K Ga Ba Rb
1 1 2 1
Direct
0.500 0.500 0.500 K
0.000 0.000 0.000 Ga
0.000 0.500 0.000 Ba
0.500 0.000 0.000 Ba
0.000 0.000 0.500 Rb